[1]
Material: LiCo2Os2
Method: DFT, PBE-GGA
State: optimized geometry

Its polymorph energy (0 for the lowest one) is 0.008 eV per atom. As for the formation energy: 285 meV/atom. The calculation puts the total energy at -7.4316 eV/atom. For the volume, the calculation gives 133 Å³ per cell. The calculation puts the total magnetization at 0.0 μB per formula unit.

The space group is P4/mbm (No. 127) and the conventional cell measures 7.223, 7.223 and 2.555 Å, with angles of 90.00, 90.00 and 90.00 degrees. The distinct sites, in fractional coordinates, are Li at (0.000, 0.000, 0.000), Co at (0.118, 0.382, 0.000) and Os at (0.176, 0.676, 0.500).



[2]
Material: SiNi2Br
Method: DFT, PBE-GGA
State: optimized geometry

Its polymorph energy (0 for the lowest one) is 0.624 eV per atom. The calculation puts the total energy at -4.2283 eV/atom. For the volume, the calculation gives 229 Å³ per cell. The calculation puts the total magnetization at 0.0 μB per formula unit. Its raw formation energy is 0.436 eV per atom.

The space group is Fm-3m (No. 225) and the conventional cell measures 6.114, 6.114 and 6.114 Å, with angles of 90.00, 90.00 and 90.00 degrees. The distinct sites, in fractional coordinates, are Si at (0.000, 0.000, 0.000), Ni at (0.250, 0.250, 0.250) and Br at (0.000, 0.000, 0.500).



[3]
Material: CsPaNb2O7
Method: DFT, PBE-GGA
State: optimized geometry

The calculation puts the total energy at -8.5514 eV/atom. For the volume, the calculation gives 178 Å³ per cell. The calculation puts the total magnetization at 1.0 μB per formula unit. Its raw formation energy is -2.624 eV per atom.

The space group is P4/mmm (No. 123) and the conventional cell measures 3.932, 3.932 and 11.489 Å, with angles of 90.00, 90.00 and 90.00 degrees. The distinct sites, in fractional coordinates, are Cs at (0.000, 0.000, 0.000), Pa at (0.000, 0.000, 0.500), Nb at (0.500, 0.500, 0.306), O at (0.000, 0.500, 0.354), O at (0.500, 0.500, 0.148) and O at (0.500, 0.500, 0.500).



[4]
Material: HfAlSi
Method: DFT, PBE-GGA
State: optimized geometry

The calculation puts the total energy at -6.8618 eV/atom. For the volume, the calculation gives 200 Å³ per cell. The calculation puts the total magnetization at 0.0 μB per formula unit. Its raw formation energy is -0.489 eV per atom.

The space group is Cmcm (No. 63) and the conventional cell measures 3.971, 9.300 and 5.413 Å, with angles of 90.00, 90.00 and 90.00 degrees. The distinct sites, in fractional coordinates, are Hf at (0.000, 0.202, 0.250), Al at (0.000, 0.500, 0.000) and Si at (0.000, 0.102, 0.750).



[5]
Material: SrSc2Ni
Method: DFT, PBE-GGA
State: optimized geometry

Its polymorph energy (0 for the lowest one) is 0.440 eV per atom. As for the formation energy: 398 meV/atom. The calculation puts the total energy at -4.6340 eV/atom. For the volume, the calculation gives 381 Å³ per cell. The calculation puts the total magnetization at 0.0 μB per formula unit.

The space group is F-43m (No. 216) and the conventional cell measures 7.251, 7.251 and 7.251 Å, with angles of 90.00, 90.00 and 90.00 degrees. The distinct sites, in fractional coordinates, are Sr at (0.000, 0.000, 0.000), Sc at (0.000, 0.000, 0.500), Sc at (0.250, 0.250, 0.750) and Ni at (0.250, 0.250, 0.250).



[6]
Material: La2BiWN
Method: DFT, PBE-GGA
State: optimized geometry

Its polymorph energy (0 for the lowest one) is 1.394 eV per atom. The calculation puts the total energy at -5.4147 eV/atom. For the volume, the calculation gives 163 Å³ per cell. The calculation puts the total magnetization at 3.5 μB per formula unit. Its raw formation energy is 1.588 eV per atom.

The space group is P4/mmm (No. 123) and the conventional cell measures 6.133, 6.133 and 4.325 Å, with angles of 90.00, 90.00 and 90.00 degrees. The distinct sites, in fractional coordinates, are La at (0.000, 0.500, 0.000), Bi at (0.000, 0.000, 0.000), W at (0.500, 0.500, 0.500) and N at (0.000, 0.000, 0.500).